A plane-wave DFT calculation with PBEsol was carried out for a geometry-optimized KBa2Li structure.

Calculated values
The symmetry is P4/mmm. As for the density of states at the Fermi level: 1.208 states/eV/atom. As for the size of the total moment: 0.001 μB per cell. For the calculated formation energy, the calculation gives 0.27 eV/f.u. Its electronic total energy is -1.78 eV/atom.

a b c (Å): 4.286 4.286 11.233
angles (deg): 90.00 90.00 90.00
Fractional positions:
K  0.500  0.500  0.000
Ba  0.000  0.000  0.687
Ba  0.000  0.000  0.313
Li  0.500  0.500  0.500

A plane-wave DFT calculation with PBEsol was carried out for a geometry-optimized KBa2Mg structure.

Calculated values
The symmetry is P4/mmm. As for the density of states at the Fermi level: 0.978 states/eV/atom. As for the size of the total moment: 0.000 μB per cell. For the calculated formation energy, the calculation gives 0.01 eV/f.u. Its electronic total energy is -1.78 eV/atom.

a b c (Å): 4.322 4.325 11.075
angles (deg): 90.03 90.00 90.00
Fractional positions:
Mg  0.500  0.500  0.500
K  0.500  0.500  0.000
Ba  0.000  0.999  0.314
Ba  0.000  0.001  0.686

A plane-wave DFT calculation with PBEsol was carried out for a geometry-optimized KBaMg4 structure.

Calculated values
The symmetry is F-43m. As for the density of states at the Fermi level: 0.795 states/eV/atom. As for the size of the total moment: 0.001 μB per cell. For the calculated formation energy, the calculation gives 0.16 eV/f.u. Its electronic total energy is -1.67 eV/atom.

a b c (Å): 6.526 6.526 6.526
angles (deg): 60.00 60.00 60.00
Fractional positions:
Mg  0.375  0.375  0.375
Mg  0.375  0.375  0.875
Mg  0.875  0.375  0.375
Mg  0.375  0.875  0.375
K  0.000  0.000  0.000
Ba  0.750  0.750  0.750

A plane-wave DFT calculation with PBEsol was carried out for a geometry-optimized KBa2Mg structure.

Calculated values
The symmetry is Cmmm. As for the density of states at the Fermi level: 1.535 states/eV/atom. As for the size of the total moment: 0.872 μB per cell. For the calculated formation energy, the calculation gives 0.53 eV/f.u. Its electronic total energy is -1.65 eV/atom.

a b c (Å): 4.810 6.374 6.374
angles (deg): 89.75 90.00 90.00
Each line ends with the local moment (μB).
Fractional positions:
Ba  0.000  0.000  0.500  0.08
Ba  0.000  0.500  0.000  0.08
K  0.500  0.500  0.500  0.02
Mg  0.500  0.000  0.000  0.01

A plane-wave DFT calculation with PBEsol was carried out for a geometry-optimized K2BaMoO structure.

Calculated values
The symmetry is P4/mmm. As for the density of states at the Fermi level: 0.899 states/eV/atom. As for the size of the total moment: 0.794 μB per cell. Its electronic total energy is -4.16 eV/atom. For the formation energy without anion corrections, the calculation gives 130 meV per atom.

a b c (Å): 3.906 6.222 6.222
angles (deg): 90.00 90.00 90.00
Each line ends with the local moment (μB).
Fractional positions:
K  0.000  0.000  0.500  -0.03
K  0.000  0.500  0.000  -0.03
Mo  0.500  0.000  0.000  1.82
Ba  0.500  0.500  0.500  -0.30
O  0.000  0.000  0.000  -0.09

A plane-wave DFT calculation with PBEsol was carried out for a geometry-optimized KBaS2N structure.

Calculated values
The symmetry is P4/mmm. As for the density of states at the Fermi level: 1.088 states/eV/atom. As for the size of the total moment: 3.757 μB per cell. Its electronic total energy is -3.85 eV/atom. For the formation energy without anion corrections, the calculation gives 267 meV per atom.

a b c (Å): 5.257 5.841 5.841
angles (deg): 90.00 90.00 90.00
Each line ends with the local moment (μB).
Fractional positions:
S  0.000  0.000  0.500  0.41
S  0.000  0.500  0.000  0.41
K  0.500  0.500  0.500  0.00
Ba  0.000  0.000  0.000  0.06
N  0.500  0.000  0.000  1.52